{"formula": "Li2Ga2Pt", "functional": "PBE", "state": "optimized geometry", "space_group": "P4/mbm", "energy_ev_per_atom": -3.4129, "ef_ev_per_atom": -0.2285, "lattice": [[6.880, 0.000, 0.000], [0.000, 6.880, 0.000], [0.000, 0.000, 2.989]], "species": ["Li", "Li", "Li", "Li", "Ga", "Ga", "Ga", "Ga", "Pt", "Pt"], "fractional_positions": [[0.135, 0.365, 0.000], [0.365, 0.865, 0.000], [0.635, 0.135, 0.000], [0.865, 0.635, 0.000], [0.162, 0.662, 0.500], [0.338, 0.162, 0.500], [0.662, 0.838, 0.500], [0.838, 0.338, 0.500], [0.000, 0.000, 0.000], [0.500, 0.500, 0.000]]}

{"formula": "AcPm7Ho12", "functional": "PBE", "state": "optimized geometry", "space_group": "Im-3m", "energy_ev_per_atom": -3.9929, "ef_ev_per_atom": 0.6219, "lattice": [[-5.666, 5.666, 5.666], [5.666, -5.666, 5.666], [5.666, 5.666, -5.666]], "species": ["Ac", "Pm", "Pm", "Pm", "Pm", "Pm", "Pm", "Pm", "Ho", "Ho", "Ho", "Ho", "Ho", "Ho", "Ho", "Ho", "Ho", "Ho", "Ho", "Ho"], "fractional_positions": [[0.000, 0.000, 0.000], [0.000, 0.000, 0.500], [0.000, 0.500, 0.000], [0.000, 0.500, 0.500], [0.500, 0.000, 0.000], [0.500, 0.000, 0.500], [0.500, 0.500, 0.000], [0.500, 0.500, 0.500], [0.000, 0.256, 0.744], [0.000, 0.744, 0.256], [0.256, 0.000, 0.744], [0.256, 0.256, 0.512], [0.256, 0.512, 0.256], [0.256, 0.744, 0.000], [0.488, 0.744, 0.744], [0.512, 0.256, 0.256], [0.744, 0.000, 0.256], [0.744, 0.256, 0.000], [0.744, 0.488, 0.744], [0.744, 0.744, 0.488]]}

{"formula": "MoSe2Br", "functional": "PBE", "state": "optimized geometry", "space_group": "P4mm", "raw_formation_energy_ev_per_atom": 0.20, "energy_ev_per_atom": -4.6707, "lattice": [[3.463, 0.000, 0.000], [0.000, 3.463, 0.000], [0.000, 0.000, 7.807]], "species": ["Mo", "Se", "Se", "Br"], "fractional_positions": [[0.000, 0.000, 0.000], [0.000, 0.000, 0.322], [0.500, 0.500, 0.141], [0.500, 0.500, 0.757]]}

{"formula": "Hf2SeN", "functional": "PBE", "state": "optimized geometry", "space_group": "R-3m", "raw_formation_energy_ev_per_atom": -1.28, "energy_ev_per_atom": -9.2096, "lattice": [[1.718, 0.992, 6.158], [-1.718, 0.992, 6.158], [0.000, -1.984, 6.158]], "species": ["Hf", "Hf", "Se", "N"], "fractional_positions": [[0.227, 0.227, 0.227], [0.773, 0.773, 0.773], [0.000, 0.000, 0.000], [0.500, 0.500, 0.500]]}